[1]
! InB2Se, PBEsol geometry, DFT SCAN; values from VASP
&SYSTEM
  ibrav = 0, nat = 4, ntyp = 3
/
ATOMIC_SPECIES
B 10.81 B.upf
Se 78.96 Se.upf
In 114.82 In.upf
CELL_PARAMETERS angstrom
4.329 0.000 0.000
2.165 3.749 0.000
2.165 1.250 3.535
ATOMIC_POSITIONS crystal
B 0.250 0.250 0.250
B 0.750 0.750 0.750
Se 0.000 0.000 0.000
In 0.500 0.500 0.500
! Uncorrected formation energy: 1.7175 eV/atom
! VASP energy: -61.5 eV per cell
! Mass density: 6.23 g/cm³
! Space-group type: No. 225
! M_tot: 0.000 μB/cell

***

[2]
! SrIn3B, PBEsol geometry, DFT SCAN; values from VASP
&SYSTEM
  ibrav = 0, nat = 5, ntyp = 3
/
ATOMIC_SPECIES
Sr 87.62 Sr.upf
B 10.81 B.upf
In 114.82 In.upf
CELL_PARAMETERS angstrom
4.958 0.000 0.000
0.000 4.958 0.000
0.000 0.000 4.958
ATOMIC_POSITIONS crystal
Sr 0.500 0.500 0.500
B 0.000 0.000 0.000
In 0.000 0.500 0.000
In 0.000 0.000 0.500
In 0.500 0.000 0.000
! VASP energy: -128.5 eV per cell
! E_form: 282 meV per atom
! Mass density: 6.03 g/cm³
! Space-group type: No. 221
! M_tot: 0.000 μB/cell